No. 1
Pm3Tm2Mg2 (PBE-GGA, relaxed); energy = -26.14 eV per cell; M_tot = 0.378 Bohr magnetons per cell; symmetry = No. 65; energy of formation = 0.0342 eV/atom
1.0
5.253 0.000 0.697
0.000 3.478 0.000
1.097 0.000 11.876
Pm Tm Mg
3 2 2
Cartesian
4.791 0.000 4.182
0.000 0.000 0.000
1.559 0.000 8.391
4.373 1.739 7.332
1.977 1.739 5.242
3.937 1.739 10.616
2.413 1.739 1.957

No. 2
Pm6Tm3Mg (PBE-GGA, relaxed); energy = -85.46 eV per cell; M_tot = 0.001 Bohr magnetons per cell; symmetry = No. 2; energy of formation = 0.0785 eV/atom
1.0
3.373 1.018 -0.340
1.561 7.168 0.092
-0.650 0.255 29.000
Pm Tm Mg
12 6 2
Cartesian
0.885 5.855 26.067
1.972 5.665 17.457
1.696 2.965 5.757
2.587 5.476 22.995
2.312 2.776 11.294
3.398 2.586 2.685
3.118 6.310 11.676
4.083 6.116 2.488
0.123 0.405 20.206
4.160 8.036 8.546
0.201 2.325 26.264
1.165 2.131 17.076
1.836 1.892 23.021
2.467 4.093 -0.124
2.447 6.549 5.730
3.367 4.506 8.472
-0.325 0.128 14.500
0.917 3.935 20.280
2.142 4.221 14.376
0.000 0.000 0.000

- What is the formula in the first record?
  Pm3Tm2Mg2

- Number 2 is which compound?
  Pm6Tm3Mg